Material: Ti2CrCuAs
Method: DFT, PBE
State: relaxed

## Properties
* calculated total energy: -31.400 eV per formula unit
* formation enthalpy at 0 K: 2.76 eV per formula unit
* theoretical density: 4.80 Mg/m³
* calculated volume: 99.0 Å³/f.u.

Lattice parameters (Å, degrees): 4.6860 4.5078 4.6860 90.00 90.00 90.00
Last column: nearest neighbours and their distance in Å.
Atoms (fractional coordinates):
As 0.0000 0.0000 0.0000  2 Cr 2.25, 4 Ti 2.34
Ti 0.5000 0.0000 0.0000  2 As 2.34
Ti 0.0000 0.0000 0.5000  2 As 2.34
Cu 0.5000 0.5000 0.5000  8 Ti 3.25, 4 Cr 3.31
Cr 0.0000 0.5000 0.0000  2 As 2.25

Material: Zn2CrCuAs
Method: DFT, PBE
State: relaxed

## Properties
* calculated total energy: -15.068 eV per formula unit
* formation enthalpy at 0 K: 5.85 eV per formula unit
* theoretical density: 5.49 Mg/m³
* calculated volume: 97.2 Å³/f.u.

Lattice parameters (Å, degrees): 4.6543 4.4849 4.6543 90.00 90.00 90.00
Last column: nearest neighbours and their distance in Å.
Atoms (fractional coordinates):
Zn 0.0000 0.0000 0.5000  2 Cr 2.33
Zn 0.5000 0.0000 0.0000  2 Cr 2.33
As 0.5000 0.5000 0.5000  8 Zn 3.23, 4 Cu 3.29
Cr 0.0000 0.0000 0.0000  2 Cu 2.24, 4 Zn 2.33
Cu 0.0000 0.5000 0.0000  2 Cr 2.24

Material: DyCrAs2
Method: DFT, PBE
State: relaxed

## Properties
* calculated total energy: -26.630 eV per formula unit
* formation enthalpy at 0 K: -3.11 eV per formula unit
* theoretical density: 7.51 Mg/m³
* calculated volume: 80.5 Å³/f.u.

Lattice parameters (Å, degrees): 3.9324 3.9324 6.4282 72.19 72.19 60.00
Last column: nearest neighbours and their distance in Å.
Atoms (fractional coordinates):
As 0.7359 0.7359 0.7924  3 Cr 2.59, 3 Dy 2.87
As 0.2641 0.2641 0.2076  3 Cr 2.59, 3 Dy 2.87
Dy 0.5000 0.5000 0.5000  6 As 2.87
Cr 0.0000 0.0000 0.0000  6 As 2.59